Computed, not measured: an optimized crystal structure of LaPtBr2 at the GGA-PBE level of DFT.

a = 5.7705 Å, b = 5.7705 Å, c = 5.7705 Å
α = 134.85°, β = 134.85°, γ = 65.77°
Positions (direct):
La1 0.0000 0.0000 0.0000
Pt1 0.2500 0.7500 0.5000
Br1 0.5000 0.5000 0.0000
Br2 0.7500 0.2500 0.5000

Calculated values
- excess energy over the best structure of this formula in the dataset (meV per atom) = 206
- total moment (μB/atom) = 0.00
- ρ (Mg/m³) = 8.62
- formation energy from raw total energies (eV/atom) = -0.889